BaTbS: optimized geometry, PBE.

Cell: 4.4881 4.4881 5.3414 Å, 90.00 90.00 90.00°
Fractional coordinates of all 3 atoms:
Ba: 0.0000 0.0000 0.0000
Tb: 0.5000 0.5000 0.5000
S: 0.5000 0.5000 0.0000

Density, g/cm³: 5.07
Calculated total energy, eV per atom: -4.693
Symmetry: P4/mmm, No. 123